No. 1
## Tl2CoP (PBE-GGA)

Data for an optimized crystal structure of Tl2CoP.

Results
total magnetic moment: 0.000 μB/atom
energy of formation from the pure elements: 41 kJ/mol of formula units
DOS(E_F): 0.5558 states/eV per atom
energy: -16.822 eV/f.u.
energy relative to the lowest polymorph listed for this composition: 0.047 eV per atom

Geometry as extended XYZ:
```
4
Lattice="-1.071 3.244 0.477 -2.512 -0.097 -4.979 -5.262 -1.601 -0.922" Properties=species:S:1:pos:R:3 pbc="T T T"
Co -4.202 -0.918 -3.190
P -5.715 0.490 -3.693
Tl -7.648 -1.671 -5.806
Tl -2.941 1.096 -1.587
```

=====

No. 2
## ZnNi3Ir (PBE-GGA)

Data for an optimized crystal structure of ZnNi3Ir.

Results
total magnetic moment: 0.129 μB/atom
energy of formation from the pure elements: -42 kJ/mol of formula units
DOS(E_F): 1.3909 states/eV per atom
energy: -27.917 eV/f.u.
energy relative to the lowest polymorph listed for this composition: 0.000 eV per atom

Geometry as extended XYZ:
```
20
Lattice="5.813 0.000 -0.031 0.000 7.291 0.000 -0.037 0.000 5.750" Properties=species:S:1:pos:R:3 pbc="T T T"
Zn 1.967 4.551 3.133
Zn 0.883 0.906 5.477
Zn 3.808 2.740 2.587
Zn 4.893 6.385 0.242
Ni 3.209 0.921 0.843
Ni 0.284 2.725 3.734
Ni 3.163 4.542 0.827
Ni 5.538 0.896 2.002
Ni 2.613 2.749 4.892
Ni 2.567 6.370 4.876
Ni 1.487 6.361 1.407
Ni 4.289 0.930 4.312
Ni 5.492 4.566 1.986
Ni 0.237 6.395 3.718
Ni 4.375 4.575 4.267
Ni 1.401 2.716 1.453
Ir 1.994 0.899 3.115
Ir 3.782 6.392 2.605
Ir 4.919 2.746 0.224
Ir 0.857 4.545 5.495
```

=====

No. 3
## Ti2HO3 (PBE-GGA)

Data for an optimized crystal structure of Ti2HO3.

Results
total magnetic moment: 0.000 μB/atom
DOS(E_F): 0.2627 states/eV per atom
energy: -47.881 eV/f.u.

Geometry as extended XYZ:
```
12
Lattice="3.103 0.000 0.617 1.176 5.333 2.199 0.135 0.333 7.437" Properties=species:S:1:pos:R:3 pbc="T T T"
Ti 3.321 2.758 7.638
Ti 1.093 2.907 2.615
Ti 2.202 1.231 5.153
Ti 2.213 4.435 5.100
H 2.022 2.850 6.058
H 2.392 2.816 4.195
O 0.430 1.049 5.952
O 3.984 4.617 4.301
O 2.819 3.453 2.048
O 1.596 2.213 8.205
O 3.467 4.564 6.905
O 0.948 1.102 3.347
```

=====

No. 4
## PmNd6Er (PBE-GGA)

Data for an optimized crystal structure of PmNd6Er.

Results
total magnetic moment: 0.000 μB/atom
energy of formation from the pure elements: 12 kJ/mol of formula units
DOS(E_F): 1.6892 states/eV per atom
energy: -37.794 eV/f.u.

Geometry as extended XYZ:
```
8
Lattice="-0.163 4.177 -3.040 -0.170 -3.044 -4.174 -10.322 -0.063 0.467" Properties=species:S:1:pos:R:3 pbc="T T T"
Pm 0.000 0.000 0.000
Nd -0.167 0.566 -3.607
Nd -5.328 0.535 -3.373
Nd -2.685 2.072 -1.402
Nd -7.800 2.041 -1.171
Nd -2.688 -1.538 -1.969
Nd -7.804 -1.570 -1.738
Er -5.161 -0.032 0.233
```

=====

No. 5
## Ca2ReSnPt (PBE-GGA)

Data for an optimized crystal structure of Ca2ReSnPt.

Results
total magnetic moment: 0.714 μB/atom
energy of formation from the pure elements: 281 kJ/mol of formula units
DOS(E_F): 0.9760 states/eV per atom
energy: -23.584 eV/f.u.

Geometry as extended XYZ:
```
5
Lattice="5.393 0.000 0.000 0.000 5.044 0.000 0.000 0.000 5.393" Properties=species:S:1:pos:R:3 pbc="T T T"
Re 2.697 2.522 2.697
Ca 0.000 0.000 2.697
Ca 2.697 0.000 0.000
Sn 0.000 2.522 0.000
Pt 0.000 0.000 0.000
```

=====

No. 6
## Mg2IrBr (PBE-GGA)

Data for an optimized crystal structure of Mg2IrBr.

Results
formation energy without anion corrections: 0.118 eV per atom
total magnetic moment: 0.000 μB/atom
DOS(E_F): 0.4203 states/eV per atom
energy: -13.251 eV/f.u.
energy relative to the lowest polymorph listed for this composition: 0.656 eV per atom

Geometry as extended XYZ:
```
4
Lattice="-4.715 -0.858 -2.289 0.579 -2.384 -4.711 0.969 -0.616 5.186" Properties=species:S:1:pos:R:3 pbc="T T T"
Br -2.907 -1.547 -0.302
Ir -0.260 -2.310 -1.513
Mg -0.015 -0.012 -0.026
Mg -2.053 -1.609 -3.474
```